VASP calculation (PBE) on crystalline AlTlAu at its relaxed geometry.

Unit cell a=4.636 b=4.636 c=6.534 alpha=90.00 beta=90.00 gamma=90.00
Fractional positions:
1 Tl 0.000 0.000 0.000
2 Al 0.500 0.500 0.500
3 Al 0.000 0.000 0.500
4 Au 0.000 0.500 0.318
5 Au 0.500 0.000 0.682
6 Tl 0.500 0.500 0.000

E_tot = -3.3066 eV/atom
Polymorph energy (0 for the lowest one) = 0 meV/atom

VASP calculation (PBE) on crystalline La2HgH2 at its relaxed geometry.

Unit cell a=7.020 b=7.020 c=7.020 alpha=146.78 beta=146.78 gamma=47.69
Fractional positions:
1 La 0.647 0.647 0.000
2 H 0.250 0.750 0.500
3 Hg 0.000 0.000 0.000
4 La 0.353 0.353 0.000
5 H 0.750 0.250 0.500

E_tot = -3.9678 eV/atom

VASP calculation (PBE) on crystalline Be2FeCu at its relaxed geometry.

Unit cell a=3.834 b=3.834 c=3.834 alpha=60.00 beta=60.00 gamma=60.00
Fractional positions:
1 Fe 0.500 0.500 0.500
2 Cu 0.250 0.250 0.250
3 Be 0.000 0.000 0.000
4 Be 0.750 0.750 0.750

E_tot = -4.7706 eV/atom

VASP calculation (PBE) on crystalline Nd3CuGeS7 at its relaxed geometry.

Unit cell a=10.193 b=10.192 c=5.857 alpha=90.00 beta=90.00 gamma=120.00
Fractional positions:
1 S 0.162 0.909 0.232
2 S 0.520 0.103 0.987
3 S 0.838 0.091 0.732
4 Nd 0.771 0.128 0.250
5 S 0.091 0.253 0.232
6 S 0.480 0.897 0.487
7 Nd 0.229 0.872 0.750
8 Ge 0.333 0.667 0.332
9 Nd 0.356 0.228 0.250
10 S 0.909 0.747 0.732
11 S 0.667 0.333 0.456
12 S 0.103 0.583 0.487
13 Ge 0.667 0.333 0.832
14 S 0.747 0.838 0.232
15 Nd 0.128 0.356 0.750
16 S 0.253 0.162 0.732
17 Cu 0.000 0.000 0.719
18 Nd 0.872 0.644 0.250
19 Nd 0.644 0.772 0.750
20 Cu 0.000 0.000 0.219
21 S 0.333 0.667 0.956
22 S 0.897 0.417 0.987
23 S 0.417 0.520 0.487
24 S 0.583 0.480 0.987

E_tot = -5.7584 eV/atom

VASP calculation (PBE) on crystalline TmP2Pd8 at its relaxed geometry.

Unit cell a=6.279 b=6.279 c=9.298 alpha=124.97 beta=124.97 gamma=37.68
Fractional positions:
1 Pd 0.526 0.526 0.369
2 Pd 0.839 0.839 0.355
3 Pd 0.230 0.230 0.093
4 Tm 0.500 0.500 0.000
5 Pd 0.822 0.822 0.652
6 Pd 0.161 0.161 0.645
7 Pd 0.474 0.474 0.631
8 Pd 0.178 0.178 0.348
9 P 0.940 0.940 0.207
10 Pd 0.770 0.770 0.907
11 P 0.060 0.060 0.793

E_tot = -5.7768 eV/atom

VASP calculation (PBE) on crystalline TbNbSO2 at its relaxed geometry.

Unit cell a=3.681 b=3.681 c=6.291 alpha=90.00 beta=90.00 gamma=120.00
Fractional positions:
1 S 0.000 0.000 0.974
2 Nb 0.333 0.667 0.725
3 Tb 0.667 0.333 0.280
4 O 0.333 0.667 0.376
5 O 0.667 0.333 0.645

E_tot = -7.9980 eV/atom

VASP calculation (PBE) on crystalline Zr3Sc2Hg3 at its relaxed geometry.

Unit cell a=6.279 b=6.279 c=5.208 alpha=90.00 beta=90.00 gamma=120.00
Fractional positions:
1 Hg 0.996 0.498 0.500
2 Zr 0.840 0.680 0.000
3 Sc 0.000 0.000 0.500
4 Zr 0.320 0.160 0.000
5 Hg 0.502 0.004 0.500
6 Zr 0.840 0.160 0.000
7 Hg 0.502 0.498 0.500
8 Sc 0.333 0.667 0.000

E_tot = -4.9721 eV/atom
Polymorph energy (0 for the lowest one) = 8 meV/atom

VASP calculation (PBE) on crystalline TbSiPd2 at its relaxed geometry.

Unit cell a=4.115 b=6.893 c=5.040 alpha=90.00 beta=90.00 gamma=90.00
Fractional positions:
1 Tb 0.500 0.828 0.564
2 Pd 0.500 0.406 0.545
3 Tb 0.500 0.172 0.064
4 Pd 0.000 0.129 0.582
5 Pd 0.000 0.871 0.082
6 Si 0.000 0.529 0.308
7 Si 0.000 0.471 0.808
8 Pd 0.500 0.594 0.045

E_tot = -5.8650 eV/atom

VASP calculation (PBE) on crystalline BaAg2O2 at its relaxed geometry.

Unit cell a=3.960 b=3.960 c=6.513 alpha=90.00 beta=90.00 gamma=120.00
Fractional positions:
1 O 0.667 0.333 0.772
2 Ag 0.667 0.333 0.380
3 Ba 0.000 0.000 0.000
4 Ag 0.333 0.667 0.620
5 O 0.333 0.667 0.228

E_tot = -4.4308 eV/atom
Polymorph energy (0 for the lowest one) = 178 meV/atom

VASP calculation (PBE) on crystalline TmSbIr at its relaxed geometry.

Unit cell a=7.091 b=4.476 c=7.908 alpha=90.00 beta=90.00 gamma=90.00
Fractional positions:
1 Sb 0.823 0.750 0.411
2 Ir 0.788 0.250 0.589
3 Tm 0.990 0.750 0.809
4 Tm 0.510 0.250 0.309
5 Tm 0.010 0.250 0.191
6 Sb 0.177 0.250 0.589
7 Ir 0.712 0.750 0.089
8 Tm 0.490 0.750 0.691
9 Ir 0.212 0.750 0.411
10 Sb 0.323 0.750 0.089
11 Ir 0.288 0.250 0.911
12 Sb 0.677 0.250 0.911

E_tot = -6.6933 eV/atom

VASP calculation (PBE) on crystalline YHo2Co3Ni6 at its relaxed geometry.

Unit cell a=8.597 b=8.597 c=8.597 alpha=33.31 beta=33.31 gamma=33.31
Fractional positions:
1 Co 0.333 0.333 0.333
2 Ni 0.581 0.083 0.581
3 Ni 0.419 0.419 0.917
4 Ni 0.419 0.917 0.419
5 Ho 0.139 0.139 0.139
6 Ho 0.861 0.861 0.861
7 Y 0.000 0.000 0.000
8 Co 0.667 0.667 0.667
9 Ni 0.083 0.581 0.581
10 Ni 0.917 0.419 0.419
11 Ni 0.581 0.581 0.083
12 Co 0.500 0.500 0.500

E_tot = -6.1728 eV/atom

VASP calculation (PBE) on crystalline GaFe2W at its relaxed geometry.

Unit cell a=4.212 b=4.212 c=4.212 alpha=60.00 beta=60.00 gamma=60.00
Fractional positions:
1 W 0.250 0.250 0.250
2 Fe 0.750 0.750 0.750
3 Ga 0.500 0.500 0.500
4 Fe 0.000 0.000 0.000

E_tot = -8.0258 eV/atom

VASP calculation (PBE) on crystalline PrDyAsI2 at its relaxed geometry.

Unit cell a=4.256 b=4.256 c=11.115 alpha=90.00 beta=90.00 gamma=120.00
Fractional positions:
1 I 0.333 0.667 0.334
2 Dy 0.333 0.667 0.857
3 Pr 0.667 0.333 0.142
4 I 0.667 0.333 0.678
5 As 0.000 0.000 0.990

E_tot = -4.9092 eV/atom

VASP calculation (PBE) on crystalline MgCdNO at its relaxed geometry.

Unit cell a=6.288 b=7.526 c=4.458 alpha=90.00 beta=90.00 gamma=90.00
Fractional positions:
1 O 0.901 0.400 0.054
2 Cd 0.066 0.136 0.050
3 Mg 0.912 0.390 0.548
4 Mg 0.588 0.390 0.048
5 N 0.928 0.858 0.051
6 Cd 0.934 0.864 0.550
7 N 0.072 0.142 0.551
8 N 0.572 0.858 0.551
9 Mg 0.088 0.610 0.048
10 N 0.428 0.142 0.051
11 O 0.401 0.600 0.054
12 O 0.599 0.400 0.554
13 O 0.099 0.600 0.554
14 Cd 0.566 0.864 0.050
15 Mg 0.412 0.610 0.548
16 Cd 0.434 0.136 0.550

E_tot = -4.6448 eV/atom
Polymorph energy (0 for the lowest one) = 0 meV/atom

VASP calculation (PBE) on crystalline GdInPt at its relaxed geometry.

Unit cell a=8.228 b=8.228 c=3.337 alpha=90.00 beta=90.00 gamma=120.00
Fractional positions:
1 Gd 0.299 0.000 0.000
2 Pt 0.361 0.361 0.500
3 Gd 0.000 0.299 0.000
4 In 0.667 0.333 0.000
5 Pt 0.000 0.639 0.500
6 In 0.000 0.000 0.500
7 Gd 0.701 0.701 0.000
8 Pt 0.639 0.000 0.500
9 In 0.333 0.667 0.000

E_tot = -4.9154 eV/atom